VASP calculation (GGA-PBE) on an optimized crystal structure of GdMgCdAg.

Results
Mass density, g/cm3: 7.33
Energy, eV per atom: -5.16

Lattice parameters (Å, degrees): 7.1407 7.1407 7.1407 90.00 90.00 90.00
Space group F-43m (No. 216)
Unique sites:
Gd: 0.0000 0.0000 0.0000 (multiplicity 4)
Mg: 0.0000 0.0000 0.5000 (multiplicity 4)
Cd: 0.2500 0.2500 0.7500 (multiplicity 4)
Ag: 0.2500 0.2500 0.2500 (multiplicity 4)